Arrangement P

Here is crystalline LaAsF2 at its relaxed geometry from Alexandria via LeMat-Bulk. Energies are from GGA-PBE.

```
LaAsF2
1.0
10.4427 -0.0168 -0.0099
9.8891 3.3551 -0.0099
9.8891 1.6237 2.9361
F As La
2 1 1
Direct
0.8798 0.8798 0.8798
0.1202 0.1202 0.1202
0.0000 0.0000 0.0000
0.5000 0.5000 0.5000
```

Computed properties:
space group: R-3m, No. 166

---

Arrangement Q

Here is crystalline LaAsF2 at its relaxed geometry from Alexandria via LeMat-Bulk. Energies are from GGA-PBE.

```
LaAsF2
1.0
-5.8745 -2.6806 -0.4320
-4.8573 -2.5275 3.4498
-6.2237 0.7649 1.6008
F As La
2 1 1
Direct
0.2998 0.2998 0.2998
0.7002 0.7002 0.7002
0.5000 0.5000 0.5000
0.0000 0.0000 0.0000
```

Computed properties:
space group: R-3m, No. 166

---

Stability check: which of them is least stable? arrangement P.

---

Arrangement P

Here is crystalline LaAsF2 at its relaxed geometry from Alexandria via LeMat-Bulk. Energies are from GGA-PBE.

```
LaAsF2
1.0
4.0136 2.2611 -0.0320
0.7386 3.4243 2.9919
2.9910 -0.5672 3.4576
F As La
2 1 1
Direct
0.2500 0.2500 0.2500
0.7500 0.7500 0.7500
0.0000 0.0000 0.0000
0.5000 0.5000 0.5000
```

Computed properties:
space group: Fm-3m, No. 225

---

Arrangement Q

Here is crystalline LaAsF2 at its relaxed geometry from Alexandria via LeMat-Bulk. Energies are from GGA-PBE.

```
LaAsF2
1.0
0.0576 1.5214 8.5786
-1.0107 6.8434 5.2968
-2.6442 -4.7354 -6.8186
As La F
2 2 4
Direct
0.2500 0.7500 0.5000
0.5000 0.5000 0.0000
0.7500 0.2500 0.5000
0.0000 0.0000 0.0000
0.6930 0.1250 0.0680
0.3750 0.3070 0.4320
0.8750 0.9430 0.5680
0.0570 0.6250 0.9320
```

Computed properties:
space group: I-42d, No. 122

---

Stability check: which of them is least stable? arrangement P.

---

Arrangement P

Here is crystalline LaAs2F at its relaxed geometry from Alexandria via LeMat-Bulk. Energies are from GGA-PBE.

```
LaAs2F
1.0
-0.3936 0.3107 4.9391
-4.1856 1.7049 2.0542
-3.0044 -3.1006 2.4506
As F La
2 1 1
Direct
0.7500 0.7500 0.7500
0.2500 0.2500 0.2500
0.0000 0.0000 0.0000
0.5000 0.5000 0.5000
```

Computed properties:
space group: Fm-3m, No. 225

---

Arrangement Q

Here is crystalline LaAs2F at its relaxed geometry from Alexandria via LeMat-Bulk. Energies are from GGA-PBE.

```
LaAs2F
1.0
3.8200 0.0000 0.0000
0.0000 3.8200 0.0000
1.9100 1.9100 11.4832
F La As
2 2 4
Direct
0.5000 0.5000 0.0000
0.2500 0.7500 0.5000
0.7500 0.2500 0.5000
0.0000 0.0000 0.0000
0.8750 0.9069 0.7500
0.3750 0.3431 0.7500
0.0931 0.6250 0.2500
0.6569 0.1250 0.2500
```

Computed properties:
space group: I-42d, No. 122

---

Stability check: which of them is least stable? arrangement P.

---

Arrangement P

Here is crystalline LaAsOF2 at its relaxed geometry from Alexandria via LeMat-Bulk. Energies are from GGA-PBE.

```
LaAsOF2
1.0
4.6414 0.0000 0.0000
0.0000 4.6414 0.0000
0.0000 0.0000 4.8178
F O As La
2 1 1 1
Direct
0.5000 0.0000 0.0000
0.0000 0.5000 0.0000
0.0000 0.0000 0.5000
0.5000 0.5000 0.5000
0.0000 0.0000 0.0000
```

Computed properties:
space group: P4/mmm, No. 123

---

Arrangement Q

Here is crystalline LaAsOF2 at its relaxed geometry from Alexandria via LeMat-Bulk. Energies are from GGA-PBE.

```
LaAsOF2
1.0
-3.3354 -3.1408 0.5643
2.0569 -2.7401 -3.0934
2.0847 -1.6950 2.8876
O As F La
1 1 2 1
Direct
0.0000 0.0000 0.5000
0.0000 0.0000 0.0000
0.5000 0.0000 0.0000
0.0000 0.5000 0.0000
0.5000 0.5000 0.5000
```

Computed properties:
space group: P4/mmm, No. 123

---

Stability check: which of them is least stable? arrangement Q.